(1)
The following is a DFT calculation (PBE) of an optimized crystal structure of MoRuPt2.

```
data_MoRuPt2
_chemical_formula_sum 'Mo1 Ru1 Pt2'
_cell_length_a 3.865
_cell_length_b 3.865
_cell_length_c 4.042
_cell_angle_alpha 90.00
_cell_angle_beta 90.00
_cell_angle_gamma 90.00
_symmetry_space_group_name_H-M 'P 4/m m m'
_symmetry_Int_Tables_number 123
_symmetry_space_group_name_Hall '-P 4 2'
loop_
_atom_site_label
_atom_site_fract_x
_atom_site_fract_y
_atom_site_fract_z
Mo1 0.000 0.000 0.000
Ru1 0.500 0.500 0.000
Pt1 0.000 0.500 0.500
```

Results
**ΔE to the lowest computed polymorph**: 0.0319 eV/atom
**Formation enthalpy at 0 K**: -0.638 eV/f.u.
**DOS(E_F)**: 4.4 states/eV/cell

=====

(2)
The following is a DFT calculation (PBE) of an optimized crystal structure of ScAlZnCu6.

```
data_ScAlZnCu6
_chemical_formula_sum 'Sc4 Al4 Zn4 Cu24'
_cell_length_a 6.761
_cell_length_b 8.632
_cell_length_c 9.439
_cell_angle_alpha 90.00
_cell_angle_beta 90.00
_cell_angle_gamma 90.00
_symmetry_space_group_name_H-M 'I m m a'
_symmetry_Int_Tables_number 74
_symmetry_space_group_name_Hall '-I 2b 2'
loop_
_atom_site_label
_atom_site_fract_x
_atom_site_fract_y
_atom_site_fract_z
Sc1 0.000 0.250 0.213
Al1 0.000 0.000 0.000
Zn1 0.250 0.250 0.750
Cu1 0.000 0.250 0.515
Cu2 0.000 0.250 0.923
Cu3 0.181 0.014 0.371
```

Results
**Formation enthalpy at 0 K**: 1.026 eV/f.u.
**DOS(E_F)**: 11.2 states/eV/cell

=====

(3)
The following is a DFT calculation (PBE) of an optimized crystal structure of Nb6FeNi.

```
data_Nb6FeNi
_chemical_formula_sum 'Nb12 Fe2 Ni2'
_cell_length_a 4.598
_cell_length_b 4.598
_cell_length_c 12.511
_cell_angle_alpha 90.00
_cell_angle_beta 90.00
_cell_angle_gamma 90.00
_symmetry_space_group_name_H-M 'I 4/m m m'
_symmetry_Int_Tables_number 139
_symmetry_space_group_name_Hall '-I 4 2'
loop_
_atom_site_label
_atom_site_fract_x
_atom_site_fract_y
_atom_site_fract_z
Nb1 0.000 0.000 0.248
Nb2 0.000 0.500 0.119
Fe1 0.000 0.000 0.000
Ni1 0.000 0.000 0.500
```

Results
**Formation enthalpy at 0 K**: -0.099 eV/f.u.
**DOS(E_F)**: 18.1 states/eV/cell

=====

(4)
The following is a DFT calculation (PBE) of an optimized crystal structure of AcPr2SnN4.

```
data_AcPr2SnN4
_chemical_formula_sum 'Ac4 Pr8 Sn4 N16'
_cell_length_a 3.767
_cell_length_b 12.386
_cell_length_c 12.535
_cell_angle_alpha 90.00
_cell_angle_beta 90.00
_cell_angle_gamma 90.00
_symmetry_space_group_name_H-M 'C m c m'
_symmetry_Int_Tables_number 63
_symmetry_space_group_name_Hall '-C 2c 2'
loop_
_atom_site_label
_atom_site_fract_x
_atom_site_fract_y
_atom_site_fract_z
Ac1 0.000 0.106 0.250
Pr1 0.000 0.371 0.039
Sn1 0.000 0.159 0.750
N1 0.000 0.000 0.000
N2 0.000 0.274 0.626
N3 0.000 0.431 0.250
```

Results
**Energy relative to the elements, uncorrected**: -0.76 eV per atom
**DOS(E_F)**: 5.1 states/eV/cell

=====

(5)
The following is a DFT calculation (PBE) of an optimized crystal structure of Hg4SF3.

```
data_Hg4SF3
_chemical_formula_sum 'Hg8 S2 F6'
_cell_length_a 8.095
_cell_length_b 7.533
_cell_length_c 5.497
_cell_angle_alpha 90.00
_cell_angle_beta 90.00
_cell_angle_gamma 90.00
_symmetry_space_group_name_H-M 'P m n 21'
_symmetry_Int_Tables_number 31
loop_
_symmetry_equiv_pos_as_xyz
'x,y,z'
'-x+1/2,-y,z+1/2'
'-x,y,z'
'x+1/2,-y,z+1/2'
loop_
_atom_site_label
_atom_site_fract_x
_atom_site_fract_y
_atom_site_fract_z
Hg1 0.000 0.041 0.000
Hg2 0.000 0.704 0.500
Hg3 0.175 0.347 0.500
S1 0.000 0.722 0.000
F1 0.000 0.021 0.499
F2 0.183 0.263 0.999
```

Results
**Energy relative to the elements, uncorrected**: -0.80 eV per atom
**DOS(E_F)**: 5.8 states/eV/cell

=====

(6)
The following is a DFT calculation (PBE) of an optimized crystal structure of YTaZn2.

```
data_YTaZn2
_chemical_formula_sum 'Y1 Ta1 Zn2'
_cell_length_a 3.184
_cell_length_b 4.038
_cell_length_c 6.122
_cell_angle_alpha 90.00
_cell_angle_beta 90.00
_cell_angle_gamma 90.00
_symmetry_space_group_name_H-M 'P m m 2'
_symmetry_Int_Tables_number 25
loop_
_symmetry_equiv_pos_as_xyz
'x,y,z'
'-x,-y,z'
'-x,y,z'
'x,-y,z'
loop_
_atom_site_label
_atom_site_fract_x
_atom_site_fract_y
_atom_site_fract_z
Y1 0.000 0.000 0.000
Ta1 0.500 0.500 0.703
Zn1 0.000 0.000 0.508
Zn2 0.500 0.500 0.263
```

Results
**ΔE to the lowest computed polymorph**: 0.2092 eV/atom
**Formation enthalpy at 0 K**: 0.709 eV/f.u.
**DOS(E_F)**: 3.2 states/eV/cell

=====

(7)
The following is a DFT calculation (PBE) of an optimized crystal structure of Ca12Tl2Sn5.

```
data_Ca12Tl2Sn5
_chemical_formula_sum 'Ca24 Tl4 Sn10'
_cell_length_a 17.271
_cell_length_b 7.646
_cell_length_c 10.426
_cell_angle_alpha 90.00
_cell_angle_beta 97.83
_cell_angle_gamma 90.00
_symmetry_space_group_name_H-M 'C 1 2/m 1'
_symmetry_Int_Tables_number 12
loop_
_symmetry_equiv_pos_as_xyz
'x,y,z'
'-x,-y,-z'
'-x,y,-z'
'x,-y,z'
'x+1/2,y+1/2,z'
'-x+1/2,-y+1/2,-z'
'-x+1/2,y+1/2,-z'
'x+1/2,-y+1/2,z'
loop_
_atom_site_label
_atom_site_fract_x
_atom_site_fract_y
_atom_site_fract_z
Ca1 0.021 0.000 0.289
Ca2 0.039 0.500 0.810
Ca3 0.153 0.250 0.572
Ca4 0.181 0.247 0.124
Tl1 0.000 0.196 0.000
Sn1 0.000 0.500 0.500
Sn2 0.160 0.000 0.847
Sn3 0.203 0.000 0.361
```

Results
**Formation enthalpy at 0 K**: -8.143 eV/f.u.
**DOS(E_F)**: 15.4 states/eV/cell

=====

(8)
The following is a DFT calculation (PBE) of an optimized crystal structure of NdSm9Tl2.

```
data_NdSm9Tl2
_chemical_formula_sum 'Nd1 Sm9 Tl2'
_cell_length_a 4.965
_cell_length_b 4.965
_cell_length_c 15.329
_cell_angle_alpha 90.00
_cell_angle_beta 90.00
_cell_angle_gamma 90.00
_symmetry_space_group_name_H-M 'P 4/m m m'
_symmetry_Int_Tables_number 123
_symmetry_space_group_name_Hall '-P 4 2'
loop_
_atom_site_label
_atom_site_fract_x
_atom_site_fract_y
_atom_site_fract_z
Nd1 0.000 0.000 0.000
Sm1 0.000 0.500 0.175
Sm2 0.000 0.500 0.500
Sm3 0.500 0.500 0.000
Sm4 0.500 0.500 0.339
Tl1 0.000 0.000 0.340
```

Results
**Formation enthalpy at 0 K**: -1.394 eV/f.u.
**DOS(E_F)**: 15.2 states/eV/cell

=====

(9)
The following is a DFT calculation (PBE) of an optimized crystal structure of ZrAg2GeBi.

```
data_ZrAg2GeBi
_chemical_formula_sum 'Zr1 Ag2 Ge1 Bi1'
_cell_length_a 4.739
_cell_length_b 4.739
_cell_length_c 5.769
_cell_angle_alpha 90.00
_cell_angle_beta 90.00
_cell_angle_gamma 90.00
_symmetry_space_group_name_H-M 'P 4/m m m'
_symmetry_Int_Tables_number 123
_symmetry_space_group_name_Hall '-P 4 2'
loop_
_atom_site_label
_atom_site_fract_x
_atom_site_fract_y
_atom_site_fract_z
Zr1 0.000 0.000 0.000
Ag1 0.000 0.500 0.500
Ge1 0.500 0.500 0.500
Bi1 0.500 0.500 0.000
```

Results
**Formation enthalpy at 0 K**: 3.136 eV/f.u.
**DOS(E_F)**: 5.0 states/eV/cell

=====

(10)
The following is a DFT calculation (PBE) of an optimized crystal structure of AcAg3Au2.

```
data_AcAg3Au2
_chemical_formula_sum 'Ac4 Ag12 Au8'
_cell_length_a 16.571
_cell_length_b 4.350
_cell_length_c 8.566
_cell_angle_alpha 90.00
_cell_angle_beta 116.75
_cell_angle_gamma 90.00
_symmetry_space_group_name_H-M 'C 1 2/m 1'
_symmetry_Int_Tables_number 12
loop_
_symmetry_equiv_pos_as_xyz
'x,y,z'
'-x,-y,-z'
'-x,y,-z'
'x,-y,z'
'x+1/2,y+1/2,z'
'-x+1/2,-y+1/2,-z'
'-x+1/2,y+1/2,-z'
'x+1/2,-y+1/2,z'
loop_
_atom_site_label
_atom_site_fract_x
_atom_site_fract_y
_atom_site_fract_z
Ac1 0.140 0.000 0.038
Ag1 0.054 0.000 0.405
Ag2 0.085 0.500 0.666
Ag3 0.193 0.500 0.484
Au1 0.030 0.500 0.176
Au2 0.214 0.000 0.741
```

Results
**Formation enthalpy at 0 K**: -2.050 eV/f.u.
**DOS(E_F)**: 7.5 states/eV/cell

=====

(11)
The following is a DFT calculation (PBE) of an optimized crystal structure of TiTl2Os.

```
data_TiTl2Os
_chemical_formula_sum 'Ti4 Tl8 Os4'
_cell_length_a 7.714
_cell_length_b 7.714
_cell_length_c 5.701
_cell_angle_alpha 90.00
_cell_angle_beta 90.00
_cell_angle_gamma 90.00
_symmetry_space_group_name_H-M 'I -4 2 d'
_symmetry_Int_Tables_number 122
_symmetry_space_group_name_Hall 'I -4 2bw'
loop_
_atom_site_label
_atom_site_fract_x
_atom_site_fract_y
_atom_site_fract_z
Ti1 0.000 0.000 0.000
Tl1 0.237 0.250 0.625
Os1 0.000 0.000 0.500
```

Results
**ΔE to the lowest computed polymorph**: 0.3204 eV/atom
**Formation enthalpy at 0 K**: 3.627 eV/f.u.
**DOS(E_F)**: 19.4 states/eV/cell

=====

(12)
The following is a DFT calculation (PBE) of an optimized crystal structure of DyGePd.

```
data_DyGePd
_chemical_formula_sum 'Dy1 Ge1 Pd1'
_cell_length_a 4.4546
_cell_length_b 4.4546
_cell_length_c 3.4587
_cell_angle_alpha 90.00
_cell_angle_beta 90.00
_cell_angle_gamma 120.00
_symmetry_space_group_name_H-M 'P -6 m 2'
_symmetry_Int_Tables_number 187
_symmetry_space_group_name_Hall 'P -6 2'
loop_
_atom_site_label
_atom_site_fract_x
_atom_site_fract_y
_atom_site_fract_z
Dy1 0.0000 0.0000 0.0000
Ge1 0.6667 0.3333 0.5000
Pd1 0.3333 0.6667 0.5000
```

Results
**Formation enthalpy at 0 K**: -2.883 eV/f.u.
**DOS(E_F)**: 0.9 states/eV/cell

=====

(13)
The following is a DFT calculation (PBE) of an optimized crystal structure of FePC2.

```
data_FePC2
_chemical_formula_sum 'Fe1 P1 C2'
_cell_length_a 2.8387
_cell_length_b 2.8387
_cell_length_c 5.5303
_cell_angle_alpha 90.00
_cell_angle_beta 90.00
_cell_angle_gamma 120.00
_symmetry_space_group_name_H-M 'P 3 m 1'
_symmetry_Int_Tables_number 156
loop_
_symmetry_equiv_pos_as_xyz
'x,y,z'
'-y,x-y,z'
'-x+y,-x,z'
'-y,-x,z'
'-x+y,y,z'
'x,x-y,z'
loop_
_atom_site_label
_atom_site_fract_x
_atom_site_fract_y
_atom_site_fract_z
Fe1 0.0000 0.0000 0.0000
P1 0.6667 0.3333 0.4970
C1 0.0000 0.0000 0.3690
C2 0.6667 0.3333 0.8177
```

Results
**Formation enthalpy at 0 K**: 1.841 eV/f.u.
**DOS(E_F)**: 1.4 states/eV/cell

=====

(14)
The following is a DFT calculation (PBE) of an optimized crystal structure of TbGdGaRu.

```
data_TbGdGaRu
_chemical_formula_sum 'Tb4 Gd4 Ga4 Ru4'
_cell_length_a 7.024
_cell_length_b 7.024
_cell_length_c 7.024
_cell_angle_alpha 90.00
_cell_angle_beta 90.00
_cell_angle_gamma 90.00
_symmetry_space_group_name_H-M 'F -4 3 m'
_symmetry_Int_Tables_number 216
_symmetry_space_group_name_Hall 'F -4 2 3'
loop_
_atom_site_label
_atom_site_fract_x
_atom_site_fract_y
_atom_site_fract_z
Tb1 0.000 0.000 0.000
Gd1 0.000 0.000 0.500
Ga1 0.250 0.250 0.250
Ru1 0.250 0.250 0.750
```

Results
**Formation enthalpy at 0 K**: -1.697 eV/f.u.
**DOS(E_F)**: 9.2 states/eV/cell

=====

(15)
The following is a DFT calculation (PBE) of an optimized crystal structure of LiHfSe2O8.

```
data_LiHfSe2O8
_chemical_formula_sum 'Li2 Hf2 Se4 O16'
_cell_length_a 6.900
_cell_length_b 6.900
_cell_length_c 6.217
_cell_angle_alpha 90.00
_cell_angle_beta 90.00
_cell_angle_gamma 90.00
_symmetry_space_group_name_H-M 'I -4 m 2'
_symmetry_Int_Tables_number 119
_symmetry_space_group_name_Hall 'I -4 -2'
loop_
_atom_site_label
_atom_site_fract_x
_atom_site_fract_y
_atom_site_fract_z
Li1 0.000 0.000 0.000
Hf1 0.000 0.500 0.250
Se1 0.000 0.000 0.500
Se2 0.000 0.500 0.750
O1 0.000 0.200 0.317
O2 0.000 0.318 0.932
```

Results
**Energy relative to the elements, uncorrected**: -1.40 eV per atom
**DOS(E_F)**: 4.9 states/eV/cell

=====

(16)
The following is a DFT calculation (PBE) of an optimized crystal structure of PmY5Hg3.

```
data_PmY5Hg3
_chemical_formula_sum 'Pm2 Y10 Hg6'
_cell_length_a 9.1387
_cell_length_b 9.1387
_cell_length_c 6.9752
_cell_angle_alpha 90.00
_cell_angle_beta 90.00
_cell_angle_gamma 120.00
_symmetry_space_group_name_H-M 'P 63/m c m'
_symmetry_Int_Tables_number 193
_symmetry_space_group_name_Hall '-P 6c 2'
loop_
_atom_site_label
_atom_site_fract_x
_atom_site_fract_y
_atom_site_fract_z
Pm1 0.0000 0.0000 0.0000
Y1 0.0000 0.3320 0.2500
Y2 0.3333 0.6667 0.0000
Hg1 0.0000 0.3374 0.7500
```

Results
**Formation enthalpy at 0 K**: -2.866 eV/f.u.
**DOS(E_F)**: 13.1 states/eV/cell

=====

(17)
The following is a DFT calculation (PBE) of an optimized crystal structure of ZrInMo.

```
data_ZrInMo
_chemical_formula_sum 'Zr1 In1 Mo1'
_cell_length_a 4.8630
_cell_length_b 4.8630
_cell_length_c 2.8818
_cell_angle_alpha 90.00
_cell_angle_beta 90.00
_cell_angle_gamma 120.00
_symmetry_space_group_name_H-M 'P 3 m 1'
_symmetry_Int_Tables_number 156
loop_
_symmetry_equiv_pos_as_xyz
'x,y,z'
'-y,x-y,z'
'-x+y,-x,z'
'-y,-x,z'
'-x+y,y,z'
'x,x-y,z'
loop_
_atom_site_label
_atom_site_fract_x
_atom_site_fract_y
_atom_site_fract_z
Zr1 0.0000 0.0000 0.0000
In1 0.6667 0.3333 0.4171
Mo1 0.3333 0.6667 0.7260
```

Results
**ΔE to the lowest computed polymorph**: 0.1076 eV/atom
**Formation enthalpy at 0 K**: 0.341 eV/f.u.
**DOS(E_F)**: 2.9 states/eV/cell

=====

(18)
The following is a DFT calculation (PBE) of an optimized crystal structure of Pu2AgTe3.

```
data_Pu2AgTe3
_chemical_formula_sum 'Pu8 Ag4 Te12'
_cell_length_a 11.369
_cell_length_b 4.331
_cell_length_c 14.634
_cell_angle_alpha 90.00
_cell_angle_beta 90.00
_cell_angle_gamma 90.00
_symmetry_space_group_name_H-M 'P n m a'
_symmetry_Int_Tables_number 62
loop_
_symmetry_equiv_pos_as_xyz
'x,y,z'
'-x,-y,-z'
'-x+1/2,-y,z+1/2'
'x+1/2,y,-z+1/2'
'x+1/2,-y+1/2,-z+1/2'
'-x+1/2,y+1/2,z+1/2'
'-x,y+1/2,-z'
'x,-y+1/2,z'
loop_
_atom_site_label
_atom_site_fract_x
_atom_site_fract_y
_atom_site_fract_z
Pu1 0.030 0.250 0.245
Pu2 0.215 0.750 0.511
Ag1 0.229 0.250 0.731
Te1 0.040 0.250 0.605
Te2 0.096 0.750 0.098
Te3 0.223 0.750 0.854
```

Results
**Energy relative to the elements, uncorrected**: -0.77 eV per atom
**DOS(E_F)**: 130.1 states/eV/cell